A plane-wave DFT calculation with PBE-GGA was carried out for a relaxed structure of KFe2Si.

a b c (Å): 2.7771 2.7771 27.2848
angles (deg): 90.00 90.00 120.00
Space group R-3m (No. 166, hexagonal axes)
Symmetry-distinct sites (fractional):
K (0.0000, 0.0000, 0.0000) (multiplicity 3)
Fe (0.0000, 0.0000, 0.2296) (multiplicity 6)
Si (0.0000, 0.0000, 0.5000) (multiplicity 3)

* magnetic moment: 4.762 Bohr magnetons per cell
* E_form (uncorrected): 0.70 eV per atom
* calculated density: 4.9 g/cm3

A plane-wave DFT calculation with PBE-GGA was carried out for a relaxed structure of KFe2Si.

a b c (Å): 4.589 4.589 6.568
angles (deg): 90.00 90.00 90.00
Space group I-4m2 (No. 119)
Symmetry-distinct sites (fractional):
K (0.000, 0.000, 0.000) (multiplicity 2)
Fe (0.000, 0.000, 0.500) (multiplicity 2)
Fe (0.000, 0.500, 0.250) (multiplicity 2)
Si (0.000, 0.500, 0.750) (multiplicity 2)

* magnetic moment: 10.898 Bohr magnetons per cell
* E_form (uncorrected): 1.07 eV per atom
* calculated density: 4.3 g/cm3